(a)
Compound: PrSmIrPd
Source: the Alexandria database
Functional: PBE-GGA
Structure: optimized geometry

Cell: 4.5049 3.8875 10.8369 Å, 90.00 90.00 90.00°
Space group Amm2 (No. 38)
Inequivalent atoms, fractional coordinates:
1 Pr 0.0000 0.0000 0.0000 (multiplicity 2)
2 Sm 0.5000 0.0000 0.2772 (multiplicity 2)
3 Ir 0.0000 0.0000 0.7285 (multiplicity 2)
4 Pd 0.5000 0.0000 0.5575 (multiplicity 2)

Results
Total moment (Bohr magnetons per cell): 0.00

(b)
Compound: PrSmIrPd
Source: the Alexandria database
Functional: PBE-GGA
Structure: optimized geometry

Cell: 7.1412 7.1412 7.1412 Å, 90.00 90.00 90.00°
Space group F-43m (No. 216)
Inequivalent atoms, fractional coordinates:
1 Pr 0.0000 0.0000 0.0000 (multiplicity 4)
2 Sm 0.0000 0.0000 0.5000 (multiplicity 4)
3 Ir 0.2500 0.2500 0.7500 (multiplicity 4)
4 Pd 0.2500 0.2500 0.2500 (multiplicity 4)

Results
Total moment (Bohr magnetons per cell): 0.00

Taking the most stable structure as the zero point, the relative energies in eV/atom are (a) 0.000; (b) 0.034.

(a)
Compound: PrThIrPd
Source: the Alexandria database
Functional: PBE-GGA
Structure: optimized geometry

Cell: 4.2306 3.9523 11.6591 Å, 90.00 90.00 90.00°
Space group Amm2 (No. 38)
Inequivalent atoms, fractional coordinates:
1 Pr 0.0000 0.0000 0.0000 (multiplicity 2)
2 Th 0.5000 0.0000 0.7253 (multiplicity 2)
3 Ir 0.0000 0.0000 0.2582 (multiplicity 2)
4 Pd 0.5000 0.0000 0.4430 (multiplicity 2)

Results
Total moment (Bohr magnetons per cell): 0.00

(b)
Compound: PrThIrPd
Source: the Alexandria database
Functional: PBE-GGA
Structure: optimized geometry

Cell: 7.2033 7.2033 7.2033 Å, 90.00 90.00 90.00°
Space group F-43m (No. 216)
Inequivalent atoms, fractional coordinates:
1 Pr 0.0000 0.0000 0.0000 (multiplicity 4)
2 Th 0.0000 0.0000 0.5000 (multiplicity 4)
3 Ir 0.2500 0.2500 0.7500 (multiplicity 4)
4 Pd 0.2500 0.2500 0.2500 (multiplicity 4)

Results
Total moment (Bohr magnetons per cell): 0.00

Taking the most stable structure as the zero point, the relative energies in eV/atom are (a) 0.000; (b) 0.181.

(a)
Compound: Ir2PdPt
Source: the Alexandria database
Functional: PBE-GGA
Structure: optimized geometry

Cell: 3.9255 3.9255 3.8830 Å, 90.00 90.00 90.00°
Space group P4/mmm (No. 123)
Inequivalent atoms, fractional coordinates:
1 Ir 0.0000 0.5000 0.0000 (multiplicity 2)
2 Pd 0.0000 0.0000 0.5000 (multiplicity 1)
3 Pt 0.5000 0.5000 0.5000 (multiplicity 1)

Results
Total moment (Bohr magnetons per cell): 0.00

(b)
Compound: Ir2PdPt
Source: the Alexandria database
Functional: PBE-GGA
Structure: optimized geometry

Cell: 6.2475 6.2475 6.2475 Å, 90.00 90.00 90.00°
Space group Fm-3m (No. 225)
Inequivalent atoms, fractional coordinates:
1 Ir 0.2500 0.2500 0.2500 (multiplicity 8)
2 Pd 0.0000 0.0000 0.0000 (multiplicity 4)
3 Pt 0.0000 0.0000 0.5000 (multiplicity 4)

Results
Total moment (Bohr magnetons per cell): 0.00

Taking the most stable structure as the zero point, the relative energies in eV/atom are (a) 0.000; (b) 0.256.

(a)
Compound: IrPdPt
Source: the Alexandria database
Functional: PBE-GGA
Structure: optimized geometry

Cell: 8.7683 3.9273 5.5632 Å, 90.00 108.75 90.00°
Space group C2/m (No. 12)
Inequivalent atoms, fractional coordinates:
1 Ir 0.1646 0.0000 0.0728 (multiplicity 4)
2 Pd 0.1680 0.0000 0.5823 (multiplicity 4)
3 Pt 0.0023 0.5000 0.7547 (multiplicity 4)

Results
Total moment (Bohr magnetons per cell): 0.00

(b)
Compound: IrPdPt
Source: the Alexandria database
Functional: PBE-GGA
Structure: optimized geometry

Cell: 2.7715 2.7715 20.5401 Å, 90.00 90.00 120.00°
Space group R3m (No. 160, hexagonal axes)
Inequivalent atoms, fractional coordinates:
1 Ir 0.0000 0.0000 0.0000 (multiplicity 3)
2 Pd 0.0000 0.0000 0.7750 (multiplicity 3)
3 Pt 0.0000 0.0000 0.2241 (multiplicity 3)

Results
Total moment (Bohr magnetons per cell): 0.00

Taking the most stable structure as the zero point, the relative energies in eV/atom are (a) 0.000; (b) 0.033.

(a)
Compound: IrPdPt
Source: the Alexandria database
Functional: PBE-GGA
Structure: optimized geometry

Cell: 3.9317 3.9429 6.1781 Å, 90.00 108.48 90.00°
Space group P2_1/m (No. 11)
Inequivalent atoms, fractional coordinates:
1 Ir 0.2503 0.2500 0.0006 (multiplicity 2)
2 Pd 0.0862 0.7500 0.6717 (multiplicity 2)
3 Pt 0.4124 0.7500 0.3255 (multiplicity 2)

Results
Total moment (Bohr magnetons per cell): 0.00

(b)
Compound: IrPdPt
Source: the Alexandria database
Functional: PBE-GGA
Structure: optimized geometry

Cell: 8.7742 3.9230 5.5637 Å, 90.00 108.76 90.00°
Space group Cm (No. 8)
Inequivalent atoms, fractional coordinates:
1 Ir 0.0000 0.0000 0.0000 (multiplicity 2)
2 Ir 0.1687 0.5000 0.8474 (multiplicity 2)
3 Pd 0.0021 0.0000 0.5085 (multiplicity 2)
4 Pd 0.3313 0.0000 0.1721 (multiplicity 2)
5 Pt 0.1639 0.5000 0.3382 (multiplicity 2)
6 Pt 0.3357 0.0000 0.6812 (multiplicity 2)

Results
Total moment (Bohr magnetons per cell): 0.00

(c)
Compound: IrPdPt
Source: the Alexandria database
Functional: PBE-GGA
Structure: optimized geometry

Cell: 4.8095 8.3332 4.7980 Å, 90.00 109.59 90.00°
Space group C2 (No. 5)
Inequivalent atoms, fractional coordinates:
1 Ir 0.0000 0.0000 0.0000 (multiplicity 2)
2 Ir 0.0000 0.3292 0.0000 (multiplicity 2)
3 Pd 0.0000 0.4988 0.5000 (multiplicity 2)
4 Pd 0.0000 0.6659 0.0000 (multiplicity 2)
5 Pt 0.0000 0.1664 0.5000 (multiplicity 2)
6 Pt 0.0000 0.8364 0.5000 (multiplicity 2)

Results
Total moment (Bohr magnetons per cell): 0.00

(d)
Compound: IrPdPt
Source: the Alexandria database
Functional: PBE-GGA
Structure: optimized geometry

Cell: 2.7796 2.7796 6.7735 Å, 90.00 90.00 120.00°
Space group P3m1 (No. 156)
Inequivalent atoms, fractional coordinates:
1 Ir 0.0000 0.0000 0.0000 (multiplicity 1)
2 Pd 0.3333 0.6667 0.6725 (multiplicity 1)
3 Pt 0.6667 0.3333 0.3305 (multiplicity 1)

Results
Total moment (Bohr magnetons per cell): 0.00

Taking the most stable structure as the zero point, the relative energies in eV/atom are (a) 0.035; (b) 0.014; (c) 0.028; (d) 0.000.

(a)
Compound: IrPdPt
Source: the Alexandria database
Functional: PBE-GGA
Structure: optimized geometry

Cell: 8.7702 3.9231 5.5645 Å, 90.00 108.67 90.00°
Space group Cm (No. 8)
Inequivalent atoms, fractional coordinates:
1 Ir 0.0000 0.0000 0.0000 (multiplicity 2)
2 Ir 0.1688 0.5000 0.8457 (multiplicity 2)
3 Pd 0.1657 0.5000 0.3379 (multiplicity 2)
4 Pd 0.3333 0.0000 0.1736 (multiplicity 2)
5 Pt 0.0045 0.0000 0.5093 (multiplicity 2)
6 Pt 0.3384 0.0000 0.6832 (multiplicity 2)

Results
Total moment (Bohr magnetons per cell): 0.00

(b)
Compound: IrPdPt
Source: the Alexandria database
Functional: PBE-GGA
Structure: optimized geometry

Cell: 8.7770 3.9258 5.5569 Å, 90.00 108.72 90.00°
Space group C2/m (No. 12)
Inequivalent atoms, fractional coordinates:
1 Ir 0.1662 0.0000 0.0785 (multiplicity 4)
2 Pd 0.0027 0.5000 0.7544 (multiplicity 4)
3 Pt 0.1706 0.0000 0.5877 (multiplicity 4)

Results
Total moment (Bohr magnetons per cell): 0.00

Taking the most stable structure as the zero point, the relative energies in eV/atom are (a) 0.000; (b) 0.006.

(a)
Compound: IrPdPt
Source: the Alexandria database
Functional: PBE-GGA
Structure: optimized geometry

Cell: 8.7409 3.9320 5.5563 Å, 90.00 107.86 90.00°
Space group Cm (No. 8)
Inequivalent atoms, fractional coordinates:
1 Ir 0.0000 0.0000 0.0000 (multiplicity 2)
2 Ir 0.1534 0.5000 0.3093 (multiplicity 2)
3 Pd 0.1612 0.5000 0.8195 (multiplicity 2)
4 Pd 0.3277 0.0000 0.6572 (multiplicity 2)
5 Pt 0.3273 0.0000 0.1567 (multiplicity 2)
6 Pt 0.4922 0.5000 0.4900 (multiplicity 2)

Results
Total moment (Bohr magnetons per cell): 0.00

(b)
Compound: IrPdPt
Source: the Alexandria database
Functional: PBE-GGA
Structure: optimized geometry

Cell: 4.8149 8.3157 4.8065 Å, 90.00 109.66 90.00°
Space group C2/c (No. 15)
Inequivalent atoms, fractional coordinates:
1 Ir 0.0000 0.0772 0.2500 (multiplicity 4)
2 Pd 0.0000 0.4157 0.2500 (multiplicity 4)
3 Pt 0.0000 0.2480 0.7500 (multiplicity 4)

Results
Total moment (Bohr magnetons per cell): 0.00

(c)
Compound: IrPdPt
Source: the Alexandria database
Functional: PBE-GGA
Structure: optimized geometry

Cell: 4.8107 8.3397 4.7942 Å, 90.00 109.59 90.00°
Space group C2/m (No. 12)
Inequivalent atoms, fractional coordinates:
1 Ir 0.0000 0.1636 0.0000 (multiplicity 4)
2 Pd 0.0000 0.3313 0.5000 (multiplicity 4)
3 Pt 0.0000 0.0000 0.5000 (multiplicity 2)
4 Pt 0.0000 0.5000 0.0000 (multiplicity 2)

Results
Total moment (Bohr magnetons per cell): 0.00

(d)
Compound: IrPdPt
Source: the Alexandria database
Functional: PBE-GGA
Structure: optimized geometry

Cell: 4.8117 2.7725 6.8022 Å, 90.00 90.19 90.00°
Space group Pm (No. 6)
Inequivalent atoms, fractional coordinates:
1 Ir 0.0000 0.0000 0.0000 (multiplicity 1)
2 Ir 0.1542 0.5000 0.6826 (multiplicity 1)
3 Pd 0.3295 0.0000 0.3430 (multiplicity 1)
4 Pd 0.4967 0.5000 0.0062 (multiplicity 1)
5 Pt 0.6601 0.0000 0.6681 (multiplicity 1)
6 Pt 0.8388 0.5000 0.3306 (multiplicity 1)

Results
Total moment (Bohr magnetons per cell): 0.00

Taking the most stable structure as the zero point, the relative energies in eV/atom are (a) 0.034; (b) 0.026; (c) 0.014; (d) 0.000.

(a)
Compound: IrPdPt
Source: the Alexandria database
Functional: PBE-GGA
Structure: optimized geometry

Cell: 2.7833 2.7833 11.7309 Å, 90.00 90.00 90.00°
Space group I4mm (No. 107)
Inequivalent atoms, fractional coordinates:
1 Ir 0.0000 0.0000 0.0000 (multiplicity 2)
2 Pd 0.0000 0.0000 0.6632 (multiplicity 2)
3 Pt 0.0000 0.0000 0.3374 (multiplicity 2)

Results
Total moment (Bohr magnetons per cell): 0.00

(b)
Compound: IrPdPt
Source: the Alexandria database
Functional: PBE-GGA
Structure: optimized geometry

Cell: 4.8054 8.3465 4.7920 Å, 90.00 109.50 90.00°
Space group C2 (No. 5)
Inequivalent atoms, fractional coordinates:
1 Ir 0.0000 0.0000 0.0000 (multiplicity 2)
2 Ir 0.0000 0.3357 0.0000 (multiplicity 2)
3 Pd 0.0000 0.1662 0.5000 (multiplicity 2)
4 Pd 0.0000 0.8337 0.5000 (multiplicity 2)
5 Pt 0.0000 0.4969 0.5000 (multiplicity 2)
6 Pt 0.0000 0.6661 0.0000 (multiplicity 2)

Results
Total moment (Bohr magnetons per cell): 0.00

Taking the most stable structure as the zero point, the relative energies in eV/atom are (a) 0.016; (b) 0.000.

(a)
Compound: IrPdPt
Source: the Alexandria database
Functional: PBE-GGA
Structure: optimized geometry

Cell: 4.8116 8.3306 4.8040 Å, 90.00 109.57 90.00°
Space group C2 (No. 5)
Inequivalent atoms, fractional coordinates:
1 Ir 0.0000 0.0000 0.0000 (multiplicity 2)
2 Ir 0.0000 0.1518 0.5000 (multiplicity 2)
3 Pd 0.0000 0.4897 0.5000 (multiplicity 2)
4 Pd 0.0000 0.8263 0.5000 (multiplicity 2)
5 Pt 0.0000 0.3239 0.0000 (multiplicity 2)
6 Pt 0.0000 0.6601 0.0000 (multiplicity 2)

Results
Total moment (Bohr magnetons per cell): 0.00

(b)
Compound: IrPdPt
Source: the Alexandria database
Functional: PBE-GGA
Structure: optimized geometry

Cell: 8.1270 4.4357 5.2946 Å, 90.00 94.88 90.00°
Space group C2/m (No. 12)
Inequivalent atoms, fractional coordinates:
1 Ir 0.2241 0.0000 0.3704 (multiplicity 4)
2 Pd 0.1462 0.0000 0.8714 (multiplicity 4)
3 Pt 0.0393 0.5000 0.2513 (multiplicity 4)

Results
Total moment (Bohr magnetons per cell): 0.00

Taking the most stable structure as the zero point, the relative energies in eV/atom are (a) 0.000; (b) 0.126.

(a)
Compound: IrPdPt6
Source: the Alexandria database
Functional: PBE-GGA
Structure: optimized geometry

Cell: 5.2195 5.2195 20.6772 Å, 90.00 90.00 120.00°
Space group R-3m (No. 166, hexagonal axes)
Inequivalent atoms, fractional coordinates:
1 Ir 0.0000 0.0000 0.0000 (multiplicity 3)
2 Pd 0.0000 0.0000 0.5000 (multiplicity 3)
3 Pt 0.0036 0.5018 0.9362 (multiplicity 18)

Results
Total moment (Bohr magnetons per cell): 0.00

(b)
Compound: IrPdPt6
Source: the Alexandria database
Functional: PBE-GGA
Structure: optimized geometry

Cell: 3.9694 3.9694 7.8501 Å, 90.00 90.00 90.00°
Space group P4/mmm (No. 123)
Inequivalent atoms, fractional coordinates:
1 Ir 0.0000 0.0000 0.0000 (multiplicity 1)
2 Pd 0.0000 0.0000 0.5000 (multiplicity 1)
3 Pt 0.0000 0.5000 0.2466 (multiplicity 4)
4 Pt 0.5000 0.5000 0.0000 (multiplicity 1)
5 Pt 0.5000 0.5000 0.5000 (multiplicity 1)

Results
Total moment (Bohr magnetons per cell): 0.00

Taking the most stable structure as the zero point, the relative energies in eV/atom are (a) 0.556; (b) 0.000.